[1]
First-principles (PBE) data for an optimized crystal structure of HfTi2ZnIr, as listed in the Alexandria database.

* energy: -6.00 eV per atom

Lattice parameters (Å, degrees): 4.863 4.770 4.863 90.00 90.00 90.00
Sites, in units of the cell vectors:
Ir: 0.000 0.500 0.000
Ti: 0.500 0.000 0.000
Ti: 0.000 0.000 0.500
Zn: 0.500 0.500 0.500
Hf: 0.000 0.000 0.000

=====

[2]
First-principles (PBE) data for an optimized crystal structure of Er12Sb6Ru, as listed in the Alexandria database.

* formation energy (no corrections): -59.74 kJ per mole of atoms

Lattice parameters (Å, degrees): 8.462 8.462 8.462 99.71 99.71 99.71
Sites, in units of the cell vectors:
Er: 0.687 0.940 0.007
Er: 0.585 0.455 0.802
Er: 0.060 0.993 0.313
Er: 0.940 0.007 0.687
Er: 0.313 0.060 0.993
Er: 0.802 0.585 0.455
Er: 0.007 0.687 0.940
Er: 0.415 0.545 0.198
Er: 0.198 0.415 0.545
Er: 0.455 0.802 0.585
Er: 0.545 0.198 0.415
Er: 0.993 0.313 0.060
Sb: 0.353 0.683 0.880
Sb: 0.683 0.880 0.353
Sb: 0.120 0.647 0.317
Sb: 0.880 0.353 0.683
Sb: 0.317 0.120 0.647
Sb: 0.647 0.317 0.120
Ru: 0.000 0.000 0.000

=====

Number 1: D(E_F) 1.40 states/eV per atom. Number 2: D(E_F) 0.67 states/eV per atom.